YMgScZn | PBE-GGA | relaxed

Cell lengths 3.4914, 3.4914, 7.5871 Å; angles 90.00, 90.00, 90.00 degrees
Fractional positions:
Mg 0.0000 0.0000 0.0918
Sc 0.5000 0.5000 0.3510
Y 0.5000 0.5000 0.7955
Zn 0.0000 0.0000 0.5464

Properties
energy relative to the elements = -214 meV per atom
space group = No. 99
total moment = 0.00 Bohr magnetons per cell